Here is a relaxed structure of NdLuInNi from Alexandria. Energies are from PBE.

Calculated values
Density of states at the Fermi level ... 1.010 states/eV/atom
Symmetry ... No. 216
Calculated total energy ... -4.72 eV per atom
ΔE_f ... -105.2 kJ/mol of formula units
Calculated volume ... 96 Å³/f.u.

Cell lengths 7.259, 7.259, 7.259 Å; angles 90.00, 90.00, 90.00 degrees
Sites, in units of the cell vectors:
1 Nd 0.000 0.000 0.000
2 Nd 0.000 0.500 0.500
3 Nd 0.500 0.000 0.500
4 Nd 0.500 0.500 0.000
5 Lu 0.000 0.000 0.500
6 Lu 0.000 0.500 0.000
7 Lu 0.500 0.000 0.000
8 Lu 0.500 0.500 0.500
9 In 0.250 0.250 0.250
10 In 0.250 0.750 0.750
11 In 0.750 0.250 0.750
12 In 0.750 0.750 0.250
13 Ni 0.250 0.250 0.750
14 Ni 0.250 0.750 0.250
15 Ni 0.750 0.250 0.250
16 Ni 0.750 0.750 0.750